TbSmS2 | PBE | optimized geometry

Properties
magnetic moment	0.0	μB/f.u.
crystal system	hexagonal
E_form (uncorrected)	-7.98	eV/f.u.
polymorph energy (0 for the lowest one)	25	meV per atom

Structure (CIF):
```
data_TbSmS2
_cell_length_a 3.9130
_cell_length_b 3.9130
_cell_length_c 13.3888
_cell_angle_alpha 90.00
_cell_angle_beta 90.00
_cell_angle_gamma 120.00
_symmetry_space_group_name_H-M 'P 1'
_symmetry_Int_Tables_number 1
_symmetry_space_group_name_Hall 'P 1'
loop_
_atom_site_label
_atom_site_type_symbol
_atom_site_fract_x
_atom_site_fract_y
_atom_site_fract_z
Sm1 Sm 0.0000 0.0000 0.5000
Sm2 Sm 0.0000 0.0000 0.0000
S1 S 0.3333 0.6667 0.3740
S2 S 0.6667 0.3333 0.6260
S3 S 0.6667 0.3333 0.8740
S4 S 0.3333 0.6667 0.1260
Tb1 Tb 0.3333 0.6667 0.7500
Tb2 Tb 0.6667 0.3333 0.2500
```